# GaAuN2

A relaxed GaAuN2 crystal (PBE, Alexandria via LeMat-Bulk).

Output
raw formation energy = 1.08 eV/atom

Lattice parameters (Å, degrees): 3.3998 3.3998 17.3096 90.00 90.00 120.00
Space group R-3m (No. 166, hexagonal axes)
Symmetry-distinct sites (fractional):
Ga1 0.0000 0.0000 0.0000 x3
Au1 0.0000 0.0000 0.5000 x3
N1 0.0000 0.0000 0.1086 x6